No. 1
Density functional theory data (GGA-PBE) for Np2Sb2O after structural relaxation.

It has space group Cmc2_1 (No. 36), with a = 4.117 Å, b = 15.220 Å, c = 7.896 Å, α = 90.00°, β = 90.00° and γ = 90.00°. The asymmetric unit holds Np at (0.000, 0.041, 0.000), Np at (0.000, 0.356, 0.833), Sb at (0.000, 0.294, 0.462), Sb at (0.000, 0.425, 0.199) and O at (0.000, 0.087, 0.291).

The crystal system is orthorhombic. The electronic total energy comes out at -8.807 eV/atom. The volume comes out at 24.7 Å³/atom.

***

No. 2
Density functional theory data (GGA-PBE) for BeSiAu after structural relaxation.

It has space group P2_1/m (No. 11), with a = 4.063 Å, b = 4.048 Å, c = 5.363 Å, α = 90.00°, β = 91.52° and γ = 90.00°. The asymmetric unit holds Be at (0.217, 0.250, 0.236), Si at (0.291, 0.750, 0.997) and Au at (0.254, 0.750, 0.496).

The crystal system is monoclinic. The electronic total energy comes out at -4.099 eV/atom. Its distance to the lowest polymorph of the same formula is 59 meV per atom. The volume comes out at 14.7 Å³/atom.

***

No. 3
Density functional theory data (GGA-PBE) for TbTlGa4 after structural relaxation.

It has space group F-43m (No. 216), with a = 7.981 Å, b = 7.981 Å, c = 7.981 Å, α = 90.00°, β = 90.00° and γ = 90.00°. The asymmetric unit holds Tb at (0.000, 0.000, 0.000), Tl at (0.250, 0.250, 0.250) and Ga at (0.125, 0.125, 0.625).

The value obtained for the formation energy is -1.22 eV per formula unit. The crystal system is cubic. The electronic total energy comes out at -3.388 eV/atom. The volume comes out at 21.2 Å³/atom.

***

No. 4
Density functional theory data (GGA-PBE) for Mg2IrPd after structural relaxation.

It has space group P4/mmm (No. 123), with a = 4.418 Å, b = 4.418 Å, c = 3.179 Å, α = 90.00°, β = 90.00° and γ = 90.00°. The asymmetric unit holds Mg at (0.000, 0.500, 0.000), Ir at (0.000, 0.000, 0.500) and Pd at (0.500, 0.500, 0.500).

The value obtained for the formation energy is -2.15 eV per formula unit. The crystal system is tetragonal. The electronic total energy comes out at -4.848 eV/atom. The volume comes out at 15.5 Å³/atom.

***

No. 5
Density functional theory data (GGA-PBE) for ZrCdCl2 after structural relaxation.

It has space group R3m (No. 160, hexagonal axes), with a = 3.4364 Å, b = 3.4364 Å, c = 28.3258 Å, α = 90.00°, β = 90.00° and γ = 120.00°. The asymmetric unit holds Zr at (0.0000, 0.0000, 0.0000), Cd at (0.0000, 0.0000, 0.2463), Cl at (0.0000, 0.0000, 0.5176) and Cl at (0.0000, 0.0000, 0.7275).

The crystal system is trigonal. The electronic total energy comes out at -4.199 eV/atom. Its distance to the lowest polymorph of the same formula is 163 meV per atom. The volume comes out at 24.1 Å³/atom.

***

No. 6
Density functional theory data (GGA-PBE) for TaBe2Hg after structural relaxation.

It has space group R-3m (No. 166, hexagonal axes), with a = 2.9099 Å, b = 2.9099 Å, c = 25.3738 Å, α = 90.00°, β = 90.00° and γ = 120.00°. The asymmetric unit holds Ta at (0.0000, 0.0000, 0.0000), Be at (0.0000, 0.0000, 0.2525) and Hg at (0.0000, 0.0000, 0.5000).

The value obtained for the formation energy is 2.20 eV per formula unit. The crystal system is trigonal. The electronic total energy comes out at -4.352 eV/atom. The volume comes out at 15.5 Å³/atom.